No. 1
First-principles (meta-GGA SCAN) data for a crystal of AgPt2W relaxed with PBEsol, as listed in Alexandria via LeMat-Bulk.

Summary:
Total energy = -60.61 eV/atom
Energy of formation = -0.245 eV per atom
Crystal system = tetragonal
Space-group type = No. 123
ΔE to the lowest computed polymorph = 0 kJ/mol of formula units

Cell: 2.798 2.798 7.861 Å, 90.00 90.00 90.00°
Positions (direct):
W 0.500 0.500 0.000
Ag 0.500 0.500 0.500
Pt 0.000 0.000 0.235
Pt 0.000 0.000 0.765

No. 2
First-principles (meta-GGA SCAN) data for a crystal of BaAl2 relaxed with PBEsol, as listed in Alexandria via LeMat-Bulk.

Summary:
Total energy = -18.55 eV/atom
Energy of formation = -0.198 eV per atom
Crystal system = cubic
Space-group type = No. 227

Cell: 5.957 5.957 5.957 Å, 60.00 60.00 60.00°
Positions (direct):
Al 0.125 0.625 0.125
Al 0.625 0.125 0.125
Al 0.125 0.125 0.125
Al 0.125 0.125 0.625
Ba 0.500 0.500 0.500
Ba 0.750 0.750 0.750

No. 3
First-principles (meta-GGA SCAN) data for a crystal of AgSBrCl2 relaxed with PBEsol, as listed in Alexandria via LeMat-Bulk.

Summary:
Total energy = -14.71 eV/atom
ΔE_f (raw) = 274.8 kJ/mol of formula units
Crystal system = tetragonal
Space-group type = No. 123

Cell: 4.762 5.109 5.109 Å, 90.00 90.00 90.00°
Positions (direct):
Cl 0.000 0.500 0.000
Cl 0.000 0.000 0.500
S 0.500 0.000 0.000
Br 0.000 0.000 0.000
Ag 0.500 0.500 0.500